A plane-wave DFT calculation with PBE-GGA was carried out for a relaxed Nb2V5Si4 crystal.

The structure belongs to space group Immm (No. 71); the cell edges are 4.869, 7.705 and 8.420 Å and the angles 90.00°, 90.00° and 90.00°. The asymmetric unit holds Nb at (0.000, 0.000, 0.191), V at (0.000, 0.500, 0.500), V at (0.243, 0.179, 0.500) and Si at (0.000, 0.332, 0.262).

For the uncorrected energy, the calculation gives -8.3049 eV per atom. The density of states at the Fermi level is 14.7 states/eV per cell. The spin magnetization is 0.0 μB per formula unit.